A geometry-optimized HfV2Cr structure. Source: the Alexandria database, functional PBE.

Values from the calculation:
- space-group type = Fm-3m
- formation energy from the elements (meV per atom) = 206
- offset from the most stable computed form (meV/atom) = 122

Cell lengths 4.3794, 4.3794, 4.3794 Å; angles 60.00, 60.00, 60.00 degrees
Positions (direct):
Cr1 0.0000 0.0000 0.0000
Hf1 0.5000 0.5000 0.5000
V1 0.2500 0.2500 0.2500
V2 0.7500 0.7500 0.7500